A plane-wave DFT calculation with GGA+U was carried out for crystalline CsPaWO6 at its relaxed geometry.

Unit cell a=7.792 b=7.792 c=7.792 alpha=122.02 beta=118.41 gamma=89.66
Fractional coordinates of all 18 atoms:
Cs 0.369 0.119 0.250
Cs 0.631 0.881 0.750
Pa 0.000 0.500 0.500
Pa 0.500 0.500 0.000
W 0.000 0.000 0.500
W 0.000 0.500 0.000
O 0.046 0.796 0.250
O 0.053 0.426 0.219
O 0.053 0.834 0.626
O 0.293 0.166 0.719
O 0.293 0.574 0.126
O 0.324 0.574 0.750
O 0.676 0.426 0.250
O 0.707 0.426 0.874
O 0.707 0.834 0.281
O 0.947 0.166 0.374
O 0.947 0.574 0.781
O 0.954 0.204 0.750

Summary:
DFT total energy in eV/atom: -7.94